The following is a PBE calculation of crystalline Rb2USi4O12 at its relaxed geometry, from Alexandria via LeMat-Bulk.

Lattice parameters (Å, degrees): 6.9156 8.6392 11.3705 72.66 88.43 76.43
Last column: nearest neighbours and their distance in Å.
Space group P-1 (No. 2)
One atom of each set of equivalent atoms:
Rb 0.1814 0.2271 0.3576 [2 per cell]  6 O 2.93-3.21
Rb 0.1984 0.1776 0.9991 [2 per cell]  6 O 2.93-3.24
U 0.3227 0.7848 0.8238 [2 per cell]  2 O 1.86
Si 0.0292 0.8165 0.2882 [2 per cell]  4 O 1.61-1.65
Si 0.3004 0.7412 0.5163 [2 per cell]  4 O 1.60-1.65
Si 0.3242 0.3646 0.6267 [2 per cell]  4 O 1.62-1.64
Si 0.3873 0.6331 0.1657 [2 per cell]  4 O 1.62-1.67
O 0.0681 0.0133 0.8176 [2 per cell]  1 Si 1.61
O 0.1305 0.6607 0.8561 [2 per cell]  1 U 1.86
O 0.1423 0.2733 0.6385 [2 per cell]  2 Si 1.62-1.64
O 0.1566 0.8537 0.3930 [2 per cell]  2 Si 1.65
O 0.1721 0.6796 0.2302 [2 per cell]  2 Si 1.64-1.66
O 0.2283 0.5652 0.5701 [2 per cell]  2 Si 1.64-1.65
O 0.2776 0.8408 0.6162 [2 per cell]  1 Si 1.60
O 0.3791 0.7510 0.0246 [2 per cell]  1 Si 1.62
O 0.4368 0.4346 0.1827 [2 per cell]  1 Si 1.62
O 0.4405 0.3214 0.7588 [2 per cell]  2 Si 1.62-1.67
O 0.4678 0.3023 0.5246 [2 per cell]  2 Si 1.64-1.65
O 0.4856 0.0910 0.2066 [2 per cell]  1 U 1.86

Computed properties:
V	16.57	A^3/atom
size of the total moment	0.000	μB/f.u.
E_tot	-147.277	eV/f.u.